1.
A relaxed structure of SiGeRh2. Source: the Alexandria database, functional GGA-PBE.

Computed properties:
**Energy**: -6.76 eV/atom
**Energy relative to the elements, uncorrected**: -0.57 eV/atom

Cell lengths 3.7948, 3.7948, 14.6728 Å; angles 90.00, 90.00, 120.00 degrees
Space group R3m (No. 160, hexagonal axes)
One atom of each set of equivalent atoms:
Si: 0.0000 0.0000 0.0000 (multiplicity 3)
Ge: 0.0000 0.0000 0.8252 (multiplicity 3)
Rh: 0.0000 0.0000 0.3953 (multiplicity 3)
Rh: 0.0000 0.0000 0.5926 (multiplicity 3)



2.
A relaxed structure of AlNi3Au. Source: the Alexandria database, functional GGA-PBE.

Computed properties:
**Energy**: -3.69 eV/atom
**E_form**: 1.18 eV per atom

Cell lengths 4.642, 4.642, 4.642 Å; angles 90.00, 90.00, 90.00 degrees
Space group Pm-3m (No. 221)
One atom of each set of equivalent atoms:
Al: 0.000 0.000 0.000 (multiplicity 1)
Ni: 0.000 0.500 0.500 (multiplicity 3)
Au: 0.500 0.500 0.500 (multiplicity 1)



Number 2 is which compound?
AlNi3Au